Entry 1:
Compound: Tb2Y3Tm6Th
Source: Alexandria
Functional: PBE-GGA
Structure: optimized geometry

a b c (Å): 6.1233 10.5978 11.6862
angles (deg): 90.00 100.07 90.00
Closest atoms and distances in Å follow each position.
Space group C2/m (No. 12)
Unique sites:
Tb: 0.0000 0.1666 0.0000 (multiplicity 4)  6 Tm 3.52, 3 Tb 3.53, 3 Th 3.53
Y: 0.0000 0.0000 0.5000 (multiplicity 2)  6 Y 3.53-3.54, 6 Tm 3.53-3.56
Y: 0.0000 0.3327 0.5000 (multiplicity 4)  6 Y 3.53-3.55, 6 Tm 3.53-3.55
Tm: 0.2460 0.5000 0.7513 (multiplicity 4)  6 Tm 3.50-3.55, 1 Th 3.50, 2 Tb 3.52, 3 Y 3.53-3.56
Tm: 0.2488 0.3350 0.2487 (multiplicity 8)  6 Tm 3.50-3.55, 1 Th 3.50, 2 Tb 3.52, 3 Y 3.53-3.55
Th: 0.0000 0.5000 0.0000 (multiplicity 2)  6 Tm 3.50, 6 Tb 3.53

Calculated values
energy of formation from the pure elements	0.0288	eV per atom
uncorrected energy	-5.213	eV per atom
theoretical density	8.14	g/cm³

***

Entry 2:
Compound: MnZnIr2
Source: Alexandria
Functional: PBE-GGA
Structure: optimized geometry

a b c (Å): 2.8186 4.6634 8.7420
angles (deg): 90.00 90.00 90.00
Closest atoms and distances in Å follow each position.
Space group Immm (No. 71)
Unique sites:
Mn: 0.0000 0.0000 0.0000 (multiplicity 2)  4 Ir 2.54, 4 Zn 2.72, 2 Mn 2.82
Zn: 0.0000 0.0000 0.5000 (multiplicity 2)  4 Ir 2.66, 4 Mn 2.72, 2 Zn 2.82
Ir: 0.0000 0.5000 0.2584 (multiplicity 4)  2 Mn 2.54, 2 Zn 2.66, 6 Ir 2.73-2.82

Calculated values
energy of formation from the pure elements	-0.0544	eV per atom
uncorrected energy	-7.096	eV per atom
theoretical density	14.59	g/cm³

***

Entry 3:
Compound: Cs2SiGeI6
Source: Alexandria
Functional: PBE-GGA
Structure: optimized geometry

a b c (Å): 8.3932 8.3932 11.8597
angles (deg): 90.00 90.00 90.00
Closest atoms and distances in Å follow each position.
Space group I4/mmm (No. 139)
Unique sites:
Cs: 0.0000 0.5000 0.2500 (multiplicity 4)  12 I 4.20
Si: 0.0000 0.0000 0.0000 (multiplicity 2)  6 I 2.92-2.93
Ge: 0.0000 0.0000 0.5000 (multiplicity 2)  6 I 3.01
I: 0.0000 0.0000 0.2466 (multiplicity 4)  1 Si 2.92, 1 Ge 3.01
I: 0.2467 0.2467 0.0000 (multiplicity 8)  1 Si 2.93, 1 Ge 3.01

Calculated values
uncorrected energy	-2.848	eV per atom
theoretical density	4.48	g/cm³

***

Entry 4:
Compound: RbScS2Cl
Source: Alexandria
Functional: PBE-GGA
Structure: optimized geometry

a b c (Å): 5.4125 5.4125 5.4623
angles (deg): 90.00 90.00 90.00
Closest atoms and distances in Å follow each position.
Space group P4/mmm (No. 123)
Unique sites:
Rb: 0.0000 0.0000 0.0000 (multiplicity 1)  4 S 2.71, 2 Cl 2.73
Sc: 0.5000 0.5000 0.5000 (multiplicity 1)  4 Cl 3.83, 8 S 3.84
S: 0.0000 0.5000 0.0000 (multiplicity 2)  2 Rb 2.71
Cl: 0.0000 0.0000 0.5000 (multiplicity 1)  2 Rb 2.73

Calculated values
relative energy among the computed polymorphs	1884	meV per atom
uncorrected energy	-3.060	eV per atom
theoretical density	2.39	g/cm³

***

Entry 5:
Compound: Rb13Na2
Source: Alexandria
Functional: PBE-GGA
Structure: optimized geometry

a b c (Å): 9.4121 11.5456 12.7760
angles (deg): 66.19 87.27 81.17
Closest atoms and distances in Å follow each position.
Space group P-1 (No. 2)
Unique sites:
Rb: 0.0000 0.0000 0.0000 (multiplicity 1)  2 Na 4.45, 4 Rb 4.73-4.79
Rb: 0.0507 0.5102 0.6838 (multiplicity 2)  2 Na 4.28-4.31, 2 Rb 4.68-4.78
Rb: 0.2165 0.9876 0.6077 (multiplicity 2)  1 Na 4.33, 1 Rb 4.80
Rb: 0.2585 0.1709 0.1987 (multiplicity 2)  1 Na 4.42, 6 Rb 4.73-4.86
Rb: 0.2623 0.6218 0.9757 (multiplicity 2)  9 Rb 4.79-5.30
Rb: 0.4465 0.1907 0.8316 (multiplicity 2)  1 Na 4.24, 1 Rb 4.68
Rb: 0.4532 0.3770 0.4047 (multiplicity 2)  2 Na 4.47-4.75, 8 Rb 4.62-5.00
Na: 0.1671 0.7726 0.3555 (multiplicity 2)  7 Rb 4.24-4.47

Calculated values
energy of formation from the pure elements	0.0246	eV per atom
relative energy among the computed polymorphs	0	meV per atom
uncorrected energy	-0.990	eV per atom
theoretical density	1.53	g/cm³

***

Entry 6:
Compound: InCo2W
Source: Alexandria
Functional: PBE-GGA
Structure: optimized geometry

a b c (Å): 4.4918 4.4918 2.7939
angles (deg): 90.00 90.00 90.00
Closest atoms and distances in Å follow each position.
Space group P4/mmm (No. 123)
Unique sites:
In: 0.0000 0.0000 0.0000 (multiplicity 1)  8 Co 2.64, 2 In 2.79
Co: 0.0000 0.5000 0.5000 (multiplicity 2)  4 In 2.64, 4 W 2.64, 2 Co 2.79
W: 0.5000 0.5000 0.0000 (multiplicity 1)  8 Co 2.64, 2 W 2.79

Calculated values
energy of formation from the pure elements	0.2804	eV per atom
uncorrected energy	-7.195	eV per atom
theoretical density	12.27	g/cm³

***

Entry 7:
Compound: MnCrPb2
Source: Alexandria
Functional: PBE-GGA
Structure: optimized geometry

a b c (Å): 3.3465 4.0182 6.7031
angles (deg): 90.00 91.17 90.00
Closest atoms and distances in Å follow each position.
Space group P2/m (No. 10)
Unique sites:
Mn: 0.0000 0.0000 0.0000 (multiplicity 1)  8 Pb 3.08-3.12, 2 Mn 3.35, 2 Cr 3.35
Cr: 0.0000 0.0000 0.5000 (multiplicity 1)  8 Pb 3.09-3.13, 2 Cr 3.35, 2 Mn 3.35
Pb: 0.4989 0.5000 0.2484 (multiplicity 2)  4 Mn 3.08-3.12, 4 Cr 3.09-3.13, 4 Pb 3.33-3.37

Calculated values
energy of formation from the pure elements	0.5606	eV per atom
relative energy among the computed polymorphs	245	meV per atom
uncorrected energy	-5.992	eV per atom
theoretical density	9.61	g/cm³

***

Entry 8:
Compound: Rb2LiIrPd
Source: Alexandria
Functional: PBE-GGA
Structure: optimized geometry

a b c (Å): 6.3082 6.3082 4.7014
angles (deg): 90.00 90.00 90.00
Closest atoms and distances in Å follow each position.
Space group P4/mmm (No. 123)
Unique sites:
Rb: 0.0000 0.5000 0.0000 (multiplicity 2)  2 Ir 3.15
Li: 0.0000 0.0000 0.5000 (multiplicity 1)  2 Ir 2.35
Ir: 0.0000 0.0000 0.0000 (multiplicity 1)  2 Li 2.35
Pd: 0.5000 0.5000 0.5000 (multiplicity 1)  8 Rb 3.93

Calculated values
energy of formation from the pure elements	0.9268	eV per atom
relative energy among the computed polymorphs	161	meV per atom
uncorrected energy	-2.654	eV per atom
theoretical density	4.23	g/cm³

***

Entry 9:
Compound: La2ScTlAu
Source: Alexandria
Functional: PBE-GGA
Structure: optimized geometry

a b c (Å): 5.7758 5.7758 5.2537
angles (deg): 90.00 90.00 90.00
Closest atoms and distances in Å follow each position.
Space group P4/mmm (No. 123)
Unique sites:
La: 0.0000 0.5000 0.0000 (multiplicity 2)  2 Au 2.89
Sc: 0.0000 0.0000 0.5000 (multiplicity 1)  2 Au 2.63
Tl: 0.5000 0.5000 0.5000 (multiplicity 1)  8 La 3.90, 4 Sc 4.08
Au: 0.0000 0.0000 0.0000 (multiplicity 1)  2 Sc 2.63, 4 La 2.89

Calculated values
energy of formation from the pure elements	-0.1237	eV per atom
uncorrected energy	-4.490	eV per atom
theoretical density	6.86	g/cm³

***

Entry 10:
Compound: CsPH2C
Source: Alexandria
Functional: PBE-GGA
Structure: optimized geometry

a b c (Å): 10.7781 3.1496 4.8415
angles (deg): 90.00 90.07 90.00
Closest atoms and distances in Å follow each position.
Space group Cm (No. 8)
Unique sites:
Cs: 0.0000 0.0000 0.0000 (multiplicity 2)  7 H 2.90-3.19, 2 Cs 3.15
P: 0.2647 0.0000 0.4752 (multiplicity 2)  1 H 1.50
H: 0.2366 0.5000 0.8741 (multiplicity 2)  1 C 1.11
H: 0.4016 0.0000 0.5297 (multiplicity 2)  1 P 1.50
C: 0.2174 0.5000 0.6491 (multiplicity 2)  1 H 1.11

Calculated values
relative energy among the computed polymorphs	92	meV per atom
uncorrected energy	-4.337	eV per atom
theoretical density	3.59	g/cm³

***

Entry 11:
Compound: ZrInSe2
Source: Alexandria
Functional: PBE-GGA
Structure: optimized geometry

a b c (Å): 6.4033 3.5109 18.7259
angles (deg): 90.00 90.00 90.00
Closest atoms and distances in Å follow each position.
Space group Pnma (No. 62)
Unique sites:
Zr: 0.2396 0.2500 0.1973 (multiplicity 4)  6 Se 2.69-2.76
In: 0.1887 0.7500 0.4592 (multiplicity 4)  2 Se 2.95-3.16
Se: 0.0723 0.7500 0.2954 (multiplicity 4)  4 Zr 2.76
Se: 0.1201 0.7500 0.0967 (multiplicity 4)  2 Zr 2.69, 1 In 2.95

Calculated values
uncorrected energy	-5.433	eV per atom
theoretical density	5.74	g/cm³

***

Entry 12:
Compound: NaTePb3
Source: Alexandria
Functional: PBE-GGA
Structure: optimized geometry

a b c (Å): 6.0686 6.0686 6.0686
angles (deg): 90.00 90.00 90.00
Closest atoms and distances in Å follow each position.
Space group Pm-3m (No. 221)
Unique sites:
Na: 0.0000 0.0000 0.0000 (multiplicity 1)  12 Pb 4.29
Te: 0.5000 0.5000 0.5000 (multiplicity 1)  6 Pb 3.03
Pb: 0.0000 0.5000 0.5000 (multiplicity 3)  2 Te 3.03

Calculated values
relative energy among the computed polymorphs	0	meV per atom
uncorrected energy	-2.838	eV per atom
theoretical density	5.74	g/cm³